Here is crystalline Mn3P6WO24 at its relaxed geometry from the Alexandria database. Energies are from GGA+U.

Results
DFT total energy, eV per atom: -7.2262

a = 8.7599 Å, b = 8.7599 Å, c = 8.7599 Å
α = 56.65°, β = 56.65°, γ = 56.65°
Positions (direct):
1 O 0.8167 0.5121 0.4637
2 O 0.8949 0.1143 0.2572
3 P 0.5223 0.2612 0.9724
4 O 0.8021 0.0003 0.6226
5 O 0.5121 0.4637 0.8167
6 O 0.9922 0.3725 0.2058
7 P 0.9724 0.5223 0.2612
8 O 0.5410 0.1841 0.4855
9 O 0.2572 0.8949 0.1143
10 O 0.1032 0.9002 0.7272
11 O 0.0003 0.6226 0.8021
12 P 0.2612 0.9724 0.5223
13 O 0.1143 0.2572 0.8949
14 P 0.7501 0.0354 0.4559
15 Mn 0.3533 0.3533 0.3533
16 O 0.4855 0.5410 0.1841
17 W 0.8595 0.8595 0.8595
18 O 0.3725 0.2058 0.9922
19 P 0.4559 0.7501 0.0354
20 P 0.0354 0.4559 0.7501
21 O 0.5179 0.2241 0.1685
22 O 0.2058 0.9922 0.3725
23 O 0.9002 0.7272 0.1032
24 Mn 0.1423 0.1423 0.1423
25 O 0.8338 0.4775 0.7812
26 O 0.4637 0.8167 0.5121
27 O 0.1841 0.4855 0.5410
28 Mn 0.6494 0.6494 0.6494
29 O 0.7272 0.1032 0.9002
30 O 0.1685 0.5179 0.2241
31 O 0.2241 0.1685 0.5179
32 O 0.4775 0.7812 0.8338
33 O 0.7812 0.8338 0.4775
34 O 0.6226 0.8021 0.0003